No. 1
The following is a PBE calculation of CuP2Br after structural relaxation, from Alexandria via LeMat-Bulk.

Output
D(E_F)   1.42 states/eV/f.u.
Crystal system   tetragonal
Excess energy over the best structure of this formula in the dataset   0.519 eV per atom
VASP energy   -29.4 eV/cell
Total magnetic moment   0.000 μB/f.u.
E_form (uncorrected)   466 meV per atom
ρ   4.944 g/cm3

abc: 5.089 5.089 5.327
angles: 90.00 90.00 90.00
Space group I4/mmm (No. 139)
One atom of each set of equivalent atoms:
Cu (0.000, 0.000, 0.000) [2 per cell]
P (0.000, 0.500, 0.000) [4 per cell]
Br (0.000, 0.000, 0.500) [2 per cell]



No. 2
The following is a PBE calculation of CuP2Br after structural relaxation, from Alexandria via LeMat-Bulk.

Output
D(E_F)   1.64 states/eV/f.u.
Crystal system   monoclinic
Excess energy over the best structure of this formula in the dataset   0.185 eV per atom
VASP energy   -16.1 eV/cell
Total magnetic moment   0.000 μB/f.u.
E_form (uncorrected)   133 meV per atom
ρ   4.256 g/cm3

abc: 3.509 4.003 5.795
angles: 90.00 100.16 90.00
Space group P2/m (No. 10)
One atom of each set of equivalent atoms:
Cu (0.000, 0.000, 0.000) [1 per cell]
P (0.225, 0.500, 0.868) [2 per cell]
Br (0.500, 0.000, 0.500) [1 per cell]



No. 3
The following is a PBE calculation of CuP2Br after structural relaxation, from Alexandria via LeMat-Bulk.

Output
D(E_F)   2.63 states/eV/f.u.
Crystal system   tetragonal
Excess energy over the best structure of this formula in the dataset   0.214 eV per atom
VASP energy   -15.9 eV/cell
Total magnetic moment   0.000 μB/f.u.
E_form (uncorrected)   161 meV per atom
ρ   3.938 g/cm3

abc: 3.300 3.300 7.951
angles: 90.00 90.00 90.00
Space group P4mm (No. 99)
One atom of each set of equivalent atoms:
Cu (0.000, 0.000, 0.000) [1 per cell]
P (0.000, 0.000, 0.284) [1 per cell]
P (0.500, 0.500, 0.364) [1 per cell]
Br (0.500, 0.500, 0.867) [1 per cell]



No. 4
The following is a PBE calculation of CuPBr after structural relaxation, from Alexandria via LeMat-Bulk.

Output
D(E_F)   1.57 states/eV/f.u.
Crystal system   orthorhombic
Excess energy over the best structure of this formula in the dataset   0.221 eV per atom
VASP energy   -40.5 eV/cell
Total magnetic moment   0.000 μB/f.u.
E_form (uncorrected)   349 meV per atom
ρ   4.477 g/cm3

abc: 3.501 6.261 11.806
angles: 90.00 90.00 90.00
Space group Fmm2 (No. 42)
One atom of each set of equivalent atoms:
Cu (0.000, 0.000, 0.000) [4 per cell]
P (0.000, 0.000, 0.622) [4 per cell]
Br (0.000, 0.000, 0.359) [4 per cell]